Record 1
Here is TaCdH after structural relaxation from Alexandria via LeMat-Bulk. Energies are from PBE.

Values from the calculation:
crystal system = orthorhombic
electronic total energy = -4.9751 eV/atom

Cell: 5.884 3.525 9.645 Å, 90.00 90.00 90.00°
Space group Pnma (No. 62)
Asymmetric unit:
Ta: 0.121 0.250 0.074 (multiplicity 4)
Cd: 0.108 0.250 0.375 (multiplicity 4)
H: 0.006 0.250 0.889 (multiplicity 4)



Record 2
Here is Ba6LiAg2 after structural relaxation from Alexandria via LeMat-Bulk. Energies are from PBE.

Values from the calculation:
crystal system = orthorhombic
electronic total energy = -2.2433 eV/atom

Cell: 11.271 11.814 12.591 Å, 90.00 90.00 90.00°
Space group Immm (No. 71)
Asymmetric unit:
Ba: 0.000 0.196 0.240 (multiplicity 8)
Ba: 0.190 0.500 0.171 (multiplicity 8)
Ba: 0.216 0.321 0.500 (multiplicity 8)
Li: 0.000 0.000 0.000 (multiplicity 2)
Li: 0.000 0.000 0.500 (multiplicity 2)
Ag: 0.000 0.335 0.000 (multiplicity 4)
Ag: 0.000 0.500 0.383 (multiplicity 4)



Record 3
Here is NaMgIn2 after structural relaxation from Alexandria via LeMat-Bulk. Energies are from PBE.

Values from the calculation:
crystal system = tetragonal
electronic total energy = -2.1619 eV/atom

Cell: 5.454 5.454 3.357 Å, 90.00 90.00 90.00°
Space group P4/mmm (No. 123)
Asymmetric unit:
Na: 0.000 0.000 0.000 (multiplicity 1)
Mg: 0.500 0.500 0.000 (multiplicity 1)
In: 0.000 0.500 0.500 (multiplicity 2)



Record 4
Here is Tb3MgRh after structural relaxation from Alexandria via LeMat-Bulk. Energies are from PBE.

Values from the calculation:
crystal system = orthorhombic
electronic total energy = -4.9444 eV/atom

Cell: 16.523 9.743 6.514 Å, 90.00 90.00 90.00°
Space group Cmce (No. 64)
Asymmetric unit:
Tb: 0.110 0.191 0.001 (multiplicity 16)
Tb: 0.203 0.000 0.500 (multiplicity 8)
Mg: 0.000 0.001 0.707 (multiplicity 8)
Rh: 0.250 0.250 0.250 (multiplicity 8)



Record 5
Here is SrCa2AlO after structural relaxation from Alexandria via LeMat-Bulk. Energies are from PBE.

Values from the calculation:
crystal system = tetragonal
electronic total energy = -4.0995 eV/atom

Cell: 4.851 4.851 5.215 Å, 90.00 90.00 90.00°
Space group P4/mmm (No. 123)
Asymmetric unit:
Sr: 0.000 0.000 0.000 (multiplicity 1)
Ca: 0.000 0.500 0.500 (multiplicity 2)
Al: 0.500 0.500 0.000 (multiplicity 1)
O: 0.000 0.000 0.500 (multiplicity 1)



Record 6
Here is AlGa2Re2 after structural relaxation from Alexandria via LeMat-Bulk. Energies are from PBE.

Values from the calculation:
crystal system = tetragonal
electronic total energy = -6.6636 eV/atom

Cell: 6.734 6.734 3.298 Å, 90.00 90.00 90.00°
Space group P4/mbm (No. 127)
Asymmetric unit:
Al: 0.000 0.000 0.000 (multiplicity 2)
Ga: 0.134 0.366 0.000 (multiplicity 4)
Re: 0.164 0.664 0.500 (multiplicity 4)



Record 7
Here is LaTbHoTl after structural relaxation from Alexandria via LeMat-Bulk. Energies are from PBE.

Values from the calculation:
crystal system = cubic
electronic total energy = -4.1961 eV/atom

Cell: 7.878 7.878 7.878 Å, 90.00 90.00 90.00°
Space group F-43m (No. 216)
Asymmetric unit:
La: 0.000 0.000 0.000 (multiplicity 4)
Tb: 0.000 0.000 0.500 (multiplicity 4)
Ho: 0.250 0.250 0.750 (multiplicity 4)
Tl: 0.250 0.250 0.250 (multiplicity 4)



Record 8
Here is SiNiB2 after structural relaxation from Alexandria via LeMat-Bulk. Energies are from PBE.

Values from the calculation:
crystal system = tetragonal
electronic total energy = -5.5630 eV/atom

Cell: 4.514 4.514 9.550 Å, 90.00 90.00 90.00°
Space group I-42d (No. 122)
Asymmetric unit:
Si: 0.000 0.000 0.000 (multiplicity 4)
Ni: 0.000 0.000 0.500 (multiplicity 4)
B: 0.235 0.250 0.625 (multiplicity 8)